No. 1
CsSrBr2F PBE optimized geometry; E_form (uncorrected) = -2.492 eV/atom; spin magnetization = 0.000 μB/cell; DFT total energy = -20.21 eV for the cell shown
1.0
6.1886 0.0000 0.0000
0.0000 6.1886 0.0000
0.0000 0.0000 4.6919
Cs Sr Br F
1 1 2 1
direct
0.0000 0.0000 0.0000
0.5000 0.5000 0.5000
0.0000 0.5000 0.5000
0.5000 0.0000 0.5000
0.5000 0.5000 0.0000



No. 2
Ba3LiPb8 PBE optimized geometry; energy of formation = -0.359 eV/atom; spin magnetization = 0.000 μB/cell; DFT total energy = -41.66 eV for the cell shown
1.0
3.3917 1.9582 10.6945
-3.3917 1.9582 10.6945
0.0000 -3.9164 10.6945
Ba Li Pb
3 1 8
direct
0.0000 0.0000 0.0000
0.1294 0.1294 0.1294
0.6169 0.6169 0.6169
0.4811 0.4811 0.4811
0.0629 0.0629 0.5615
0.0629 0.5615 0.0629
0.0645 0.5637 0.5637
0.3124 0.3124 0.3124
0.5615 0.0629 0.0629
0.5637 0.0645 0.5637
0.5637 0.5637 0.0645
0.8138 0.8138 0.8138



No. 3
Tb4PtAu3 PBE optimized geometry; energy of formation = -0.982 eV/atom; spin magnetization = 0.000 μB/cell; DFT total energy = -42.25 eV for the cell shown
1.0
3.7804 0.0000 0.0000
0.0000 4.6627 0.0000
0.0000 0.0000 10.8519
Tb Pt Au
4 1 3
direct
0.0000 0.0000 0.0000
0.0000 0.5000 0.2666
0.5000 0.0000 0.4830
0.5000 0.5000 0.7695
0.5000 0.0000 0.2178
0.0000 0.0000 0.7189
0.0000 0.5000 0.5418
0.5000 0.5000 0.0427



No. 4
Cr2AgOs PBE optimized geometry; energy of formation = 0.457 eV/atom; spin magnetization = 0.486 μB/cell; DFT total energy = -31.50 eV for the cell shown
1.0
2.7623 0.0000 0.0000
0.0000 3.6915 0.0000
0.0000 0.0000 5.6240
Cr Ag Os
2 1 1
direct
0.0000 0.0000 0.0000
0.5000 0.5000 0.2189
0.5000 0.5000 0.7214
0.0000 0.0000 0.4160



No. 5
BeRe2 PBE optimized geometry; energy of formation = 0.065 eV/atom; spin magnetization = 0.000 μB/cell; energy relative to the lowest polymorph listed for this composition = 337 meV/atom; DFT total energy = -113.70 eV for the cell shown
1.0
5.1603 0.0000 0.0000
0.0000 3.9880 0.0000
0.0000 0.0000 7.5299
Be Re
4 8
direct
0.1986 0.2500 0.1180
0.3014 0.7500 0.6180
0.6986 0.2500 0.3820
0.8014 0.7500 0.8820
0.0756 0.2500 0.7927
0.1910 0.2500 0.4432
0.3090 0.7500 0.9432
0.4244 0.7500 0.2927
0.5756 0.2500 0.7073
0.6910 0.2500 0.0568
0.8090 0.7500 0.5568
0.9244 0.7500 0.2073



No. 6
CaTiNi3 PBE optimized geometry; energy of formation = 1.343 eV/atom; spin magnetization = 0.000 μB/cell; energy relative to the lowest polymorph listed for this composition = 1022 meV/atom; DFT total energy = -20.53 eV for the cell shown
1.0
4.4733 0.0000 0.0000
0.0000 4.4733 0.0000
0.0000 0.0000 4.4733
Ca Ti Ni
1 1 3
direct
0.0000 0.0000 0.0000
0.5000 0.5000 0.5000
0.0000 0.0000 0.5000
0.0000 0.5000 0.0000
0.5000 0.0000 0.0000



No. 7
LaNdTmSc PBE optimized geometry; energy of formation = 0.086 eV/atom; spin magnetization = 0.000 μB/cell; energy relative to the lowest polymorph listed for this composition = 5 meV/atom; DFT total energy = -40.31 eV for the cell shown
1.0
12.2196 0.0000 0.0000
0.0000 5.7268 0.0000
-1.2008 0.0000 3.6461
La Nd Tm Sc
2 2 2 2
direct
0.0000 0.0000 0.0000
0.5000 0.5000 0.0000
0.2259 0.5000 0.2169
0.7259 0.0000 0.2169
0.2637 0.0000 0.7562
0.7637 0.5000 0.7562
0.4901 0.0000 0.4849
0.9901 0.5000 0.4849



No. 8
MgVIrRh PBE optimized geometry; energy of formation = -0.484 eV/atom; spin magnetization = 0.557 μB/cell; energy relative to the lowest polymorph listed for this composition = 0 meV/atom; DFT total energy = -28.86 eV for the cell shown
1.0
2.9275 0.0000 0.0000
0.0000 2.9275 0.0000
0.0000 0.0000 6.8210
Mg V Ir Rh
1 1 1 1
direct
0.0000 0.0000 0.0000
0.0000 0.0000 0.4993
0.5000 0.5000 0.7287
0.5000 0.5000 0.2657



No. 9
NdTaSe4 PBE optimized geometry; E_form (uncorrected) = -1.084 eV/atom; spin magnetization = 0.000 μB/cell; DFT total energy = -74.12 eV for the cell shown
1.0
4.0316 -8.8703 0.0000
4.0316 8.8703 0.0000
-3.9689 0.0000 5.4417
Nd Ta Se
2 2 8
direct
0.0753 0.9247 0.7500
0.9247 0.0753 0.2500
0.4213 0.5787 0.2500
0.5787 0.4213 0.7500
0.0843 0.4268 0.1920
0.2446 0.3291 0.7793
0.3291 0.2446 0.2793
0.4268 0.0843 0.6920
0.5732 0.9157 0.3080
0.6709 0.7554 0.7207
0.7554 0.6709 0.2207
0.9157 0.5732 0.8080



No. 10
PrYInRh PBE optimized geometry; energy of formation = -0.479 eV/atom; spin magnetization = 0.000 μB/cell; DFT total energy = -93.00 eV for the cell shown
1.0
7.3665 0.0000 0.0000
0.0000 7.3665 0.0000
0.0000 0.0000 7.3665
Pr Y In Rh
4 4 4 4
direct
0.0000 0.0000 0.0000
0.0000 0.5000 0.5000
0.5000 0.0000 0.5000
0.5000 0.5000 0.0000
0.0000 0.0000 0.5000
0.0000 0.5000 0.0000
0.5000 0.0000 0.0000
0.5000 0.5000 0.5000
0.2500 0.2500 0.2500
0.2500 0.7500 0.7500
0.7500 0.2500 0.7500
0.7500 0.7500 0.2500
0.2500 0.2500 0.7500
0.2500 0.7500 0.2500
0.7500 0.2500 0.2500
0.7500 0.7500 0.7500



No. 11
HgAsClF6 PBE optimized geometry; E_form (uncorrected) = -1.743 eV/atom; spin magnetization = 0.029 μB/cell; DFT total energy = -33.72 eV for the cell shown
1.0
4.5936 0.0000 0.0000
-1.0285 5.4979 0.0000
-0.7192 -0.3266 6.0804
Hg As Cl F
1 1 1 6
direct
0.0000 0.0000 0.0000
0.0185 0.4230 0.5815
0.4997 0.8983 0.1147
0.1794 0.2434 0.4032
0.2595 0.3452 0.8145
0.2820 0.6844 0.5528
0.7626 0.1546 0.6346
0.7762 0.4887 0.3592
0.8546 0.5901 0.7721



No. 12
Cr2HgSe PBE optimized geometry; E_form (uncorrected) = 0.293 eV/atom; spin magnetization = 8.225 μB/cell; energy relative to the lowest polymorph listed for this composition = 80 meV/atom; DFT total energy = -21.86 eV for the cell shown
1.0
3.3510 0.0000 0.0000
0.0000 3.3269 0.0000
-0.0217 0.0000 6.6713
Cr Hg Se
2 1 1
direct
0.9999 0.0000 0.2303
0.0001 0.0000 0.7697
0.5000 0.5000 0.5000
0.5000 0.5000 0.0000



No. 13
Ba2GeMoAu PBE optimized geometry; energy of formation = 0.618 eV/atom; spin magnetization = 4.873 μB/cell; DFT total energy = -19.48 eV for the cell shown
1.0
6.4230 0.0000 0.0000
0.0000 6.4230 0.0000
0.0000 0.0000 4.7694
Ba Ge Mo Au
2 1 1 1
direct
0.0000 0.5000 0.0000
0.5000 0.0000 0.0000
0.0000 0.0000 0.0000
0.5000 0.5000 0.5000
0.0000 0.0000 0.5000



No. 14
SrRu2Pb2 PBE optimized geometry; energy of formation = 0.126 eV/atom; spin magnetization = 0.000 μB/cell; DFT total energy = -54.04 eV for the cell shown
1.0
4.8270 0.0000 0.0000
0.0000 4.8270 0.0000
0.0000 0.0000 10.4399
Sr Ru Pb
2 4 4
direct
0.0000 0.0000 0.0000
0.5000 0.5000 0.5000
0.0000 0.0000 0.3879
0.0000 0.0000 0.6121
0.5000 0.5000 0.1121
0.5000 0.5000 0.8879
0.0000 0.5000 0.2500
0.0000 0.5000 0.7500
0.5000 0.0000 0.2500
0.5000 0.0000 0.7500



No. 15
LiCuPCl2 PBE optimized geometry; E_form (uncorrected) = -0.161 eV/atom; spin magnetization = 1.846 μB/cell; energy relative to the lowest polymorph listed for this composition = 0 meV/atom; DFT total energy = -15.92 eV for the cell shown
1.0
5.0422 0.0000 0.0000
0.0000 5.0422 0.0000
0.0000 0.0000 4.4380
Li Cu P Cl
1 1 1 2
direct
0.0000 0.0000 0.0000
0.5000 0.5000 0.5000
0.5000 0.5000 0.0000
0.0000 0.5000 0.5000
0.5000 0.0000 0.5000



No. 16
SnPO3 PBE optimized geometry; E_form (uncorrected) = -0.942 eV/atom; spin magnetization = 0.000 μB/cell; DFT total energy = -29.00 eV for the cell shown
1.0
3.7896 0.0000 0.0000
0.0000 3.7896 0.0000
0.0000 0.0000 3.7896
Sn P O
1 1 3
direct
0.0000 0.0000 0.0000
0.5000 0.5000 0.5000
0.0000 0.5000 0.5000
0.5000 0.0000 0.5000
0.5000 0.5000 0.0000



No. 17
GaCuTcI2 PBE optimized geometry; E_form (uncorrected) = 0.897 eV/atom; spin magnetization = 4.057 μB/cell; energy relative to the lowest polymorph listed for this composition = 0 meV/atom; DFT total energy = -16.11 eV for the cell shown
1.0
5.4625 0.0000 0.0000
0.0000 5.4625 0.0000
0.0000 0.0000 4.9572
Ga Cu Tc I
1 1 1 2
direct
0.0000 0.0000 0.0000
0.5000 0.5000 0.5000
0.5000 0.5000 0.0000
0.0000 0.5000 0.5000
0.5000 0.0000 0.5000



No. 18
CsPmSn PBE optimized geometry; energy of formation = -0.373 eV/atom; spin magnetization = 0.882 μB/cell; DFT total energy = -42.90 eV for the cell shown
1.0
4.3865 0.0000 0.0000
0.0000 4.3865 0.0000
0.0000 0.0000 29.7052
Cs Pm Sn
4 4 4
direct
0.0000 0.0000 0.0874
0.0000 0.0000 0.9126
0.5000 0.5000 0.4126
0.5000 0.5000 0.5874
0.0000 0.0000 0.2112
0.0000 0.0000 0.7888
0.5000 0.5000 0.2888
0.5000 0.5000 0.7112
0.0000 0.0000 0.3200
0.0000 0.0000 0.6800
0.5000 0.5000 0.1800
0.5000 0.5000 0.8200



No. 19
TaNi2Ag PBE optimized geometry; energy of formation = 0.018 eV/atom; spin magnetization = 0.000 μB/cell; energy relative to the lowest polymorph listed for this composition = 29 meV/atom; DFT total energy = -104.77 eV for the cell shown
1.0
6.0871 0.0000 0.0000
0.0000 6.0871 0.0000
0.0000 0.0000 6.0871
Ta Ni Ag
4 8 4
direct
0.0000 0.0000 0.0000
0.0000 0.5000 0.5000
0.5000 0.0000 0.5000
0.5000 0.5000 0.0000
0.2500 0.2500 0.2500
0.2500 0.2500 0.7500
0.2500 0.7500 0.2500
0.2500 0.7500 0.7500
0.7500 0.2500 0.2500
0.7500 0.2500 0.7500
0.7500 0.7500 0.2500
0.7500 0.7500 0.7500
0.0000 0.0000 0.5000
0.0000 0.5000 0.0000
0.5000 0.0000 0.0000
0.5000 0.5000 0.5000



No. 20
Mg2CuBr PBE optimized geometry; E_form (uncorrected) = -0.340 eV/atom; spin magnetization = 0.000 μB/cell; energy relative to the lowest polymorph listed for this composition = 2 meV/atom; DFT total energy = -10.32 eV for the cell shown
1.0
3.4276 0.0000 0.0000
0.0000 3.2711 0.0000
-0.0153 0.0000 7.5658
Mg Cu Br
2 1 1
direct
0.0017 0.0000 0.2000
0.9983 0.0000 0.8000
0.5000 0.5000 0.0000
0.0000 0.5000 0.5000



No. 21
La2Y7Er3 PBE optimized geometry; energy of formation = 0.085 eV/atom; spin magnetization = 0.000 μB/cell; DFT total energy = -67.77 eV for the cell shown
1.0
6.3948 0.0000 0.0000
0.0000 3.5276 0.0000
-1.8445 0.0000 17.4671
La Y Er
2 7 3
direct
0.0580 0.0000 0.1723
0.9420 0.0000 0.8277
0.0000 0.5000 0.5000
0.2304 0.0000 0.6668
0.2578 0.0000 0.9982
0.2765 0.5000 0.3381
0.7235 0.5000 0.6619
0.7422 0.0000 0.0018
0.7696 0.0000 0.3332
0.4548 0.5000 0.8424
0.5000 0.0000 0.5000
0.5452 0.5000 0.1576



No. 22
LaZn6Cu6 PBE optimized geometry; energy of formation = -0.156 eV/atom; spin magnetization = 0.000 μB/cell; DFT total energy = -39.18 eV for the cell shown
1.0
-2.4727 4.4180 4.4787
2.4727 -4.4180 4.4787
2.4727 4.4180 -4.4787
La Zn Cu
1 6 6
direct
0.0000 0.0000 0.0000
0.2151 0.7151 0.5000
0.3506 0.0000 0.3506
0.3536 0.3536 0.0000
0.6464 0.6464 0.0000
0.6494 0.0000 0.6494
0.7849 0.2849 0.5000
0.0000 0.0000 0.5000
0.0000 0.5000 0.0000
0.2304 0.5000 0.7304
0.5000 0.0000 0.0000
0.5000 0.5000 0.5000
0.7696 0.5000 0.2696



No. 23
Ac2TlH2O6 PBE optimized geometry; spin magnetization = 0.000 μB/cell; DFT total energy = -64.41 eV for the cell shown
1.0
2.6656 1.5390 5.6694
-2.6656 1.5390 5.6694
0.0000 -3.0780 5.6694
Ac Tl H O
2 1 2 6
direct
0.2222 0.2222 0.2222
0.7778 0.7778 0.7778
0.0000 0.0000 0.0000
0.4236 0.4236 0.4236
0.5764 0.5764 0.5764
0.2594 0.7325 0.7325
0.2675 0.2675 0.7406
0.2675 0.7406 0.2675
0.7325 0.2594 0.7325
0.7325 0.7325 0.2594
0.7406 0.2675 0.2675



No. 24
Zn2FeIr PBE optimized geometry; energy of formation = -0.084 eV/atom; spin magnetization = 6.074 μB/cell; DFT total energy = -40.42 eV for the cell shown
1.0
3.8986 0.0000 0.0000
0.0000 3.8986 0.0000
0.0000 0.0000 7.1796
Zn Fe Ir
4 2 2
direct
0.0000 0.0000 0.0000
0.0000 0.5000 0.2500
0.5000 0.0000 0.7500
0.5000 0.5000 0.5000
0.0000 0.5000 0.7500
0.5000 0.0000 0.2500
0.0000 0.0000 0.5000
0.5000 0.5000 0.0000



No. 25
LiLa2Cr PBE optimized geometry; energy of formation = 0.518 eV/atom; spin magnetization = 12.969 μB/cell; DFT total energy = -77.27 eV for the cell shown
1.0
8.3563 0.0000 0.0000
0.0000 8.3563 0.0000
0.0000 0.0000 6.4234
Li La Cr
4 8 4
direct
0.0000 0.0000 0.0000
0.0000 0.5000 0.2500
0.5000 0.0000 0.7500
0.5000 0.5000 0.5000
0.2348 0.7500 0.6250
0.2500 0.2348 0.3750
0.2500 0.2652 0.8750
0.2652 0.7500 0.1250
0.7348 0.2500 0.1250
0.7500 0.7348 0.8750
0.7500 0.7652 0.3750
0.7652 0.2500 0.6250
0.0000 0.0000 0.5000
0.0000 0.5000 0.7500
0.5000 0.0000 0.2500
0.5000 0.5000 0.0000



No. 26
AlZn7Cu3 PBE optimized geometry; energy of formation = 0.023 eV/atom; spin magnetization = 0.000 μB/cell; DFT total energy = -24.70 eV for the cell shown
1.0
5.4293 0.0000 0.0000
-2.7147 4.7019 0.0000
0.0000 0.0000 6.4196
Al Zn Cu
1 7 3
direct
0.0000 0.0000 0.0000
0.3333 0.6667 0.3667
0.3351 0.1676 0.3662
0.5009 0.0019 0.0046
0.5009 0.4991 0.0046
0.8324 0.1676 0.3662
0.8324 0.6649 0.3662
0.9981 0.4991 0.0046
0.1664 0.3328 0.6856
0.1664 0.8336 0.6856
0.6672 0.8336 0.6856